{"formula": "Li3HfTe4", "functional": "PBE", "state": "optimized geometry", "lattice_angstrom": [[4.065, 0.000, 0.000], [0.000, 7.245, 0.013], [0.000, -2.272, 6.880]], "species": ["Li", "Li", "Li", "Hf", "Te", "Te", "Te", "Te"], "frac_coords": [[0.000, 0.000, 0.500], [0.500, 0.500, 0.500], [0.000, 0.500, 0.000], [0.500, 0.000, 0.000], [0.000, 0.243, 0.243], [0.500, 0.756, 0.244], [0.000, 0.757, 0.757], [0.500, 0.244, 0.756]], "sg": "Cmmm, No. 65", "e_form_raw_ev_per_atom": -0.8006}


{"formula": "CeHfPaN3", "functional": "PBE", "state": "optimized geometry", "lattice_angstrom": [[3.314, 0.000, 0.000], [0.000, 5.456, 0.765], [0.000, -1.339, 9.375]], "species": ["Ce", "Ce", "Hf", "Hf", "Pa", "Pa", "N", "N", "N", "N", "N", "N"], "frac_coords": [[0.750, 0.749, 0.749], [0.250, 0.251, 0.251], [0.250, 0.750, 0.052], [0.750, 0.250, 0.948], [0.250, 0.248, 0.619], [0.750, 0.752, 0.381], [0.250, 0.752, 0.552], [0.750, 0.991, 0.137], [0.750, 0.510, 0.137], [0.750, 0.248, 0.448], [0.250, 0.490, 0.863], [0.250, 0.009, 0.863]], "sg": "P2_1/m, No. 11", "e_form_raw_ev_per_atom": -1.4112}


{"formula": "Zn2Cd3Au7", "functional": "PBE", "state": "optimized geometry", "lattice_angstrom": [[-1.889, 2.633, -4.023], [-4.822, -1.366, -0.973], [0.185, 4.087, 10.653]], "species": ["Zn", "Zn", "Cd", "Cd", "Cd", "Au", "Au", "Au", "Au", "Au", "Au", "Au"], "frac_coords": [[0.367, 0.083, 0.288], [0.633, 0.917, 0.712], [0.500, 0.500, 0.000], [0.112, 0.450, 0.660], [0.888, 0.550, 0.340], [0.672, 0.043, 0.156], [0.179, 0.011, 0.446], [0.000, 0.000, 0.000], [0.328, 0.957, 0.844], [0.798, 0.440, 0.817], [0.202, 0.560, 0.183], [0.821, 0.989, 0.554]], "sg": "P-1, No. 2", "ef_ev_per_atom": -0.12, "polymorph_energy_mev_per_atom": 0.0}


{"formula": "AcZn4Cu2Au", "functional": "PBE", "state": "optimized geometry", "lattice_angstrom": [[-1.898, 0.809, -3.740], [0.339, -2.792, -3.215], [-8.379, -5.102, 0.710]], "species": ["Ac", "Zn", "Zn", "Zn", "Zn", "Cu", "Cu", "Au"], "frac_coords": [[0.000, 0.000, 0.000], [0.408, 0.408, 0.777], [0.873, 0.873, 0.380], [0.127, 0.127, 0.620], [0.592, 0.592, 0.223], [0.759, 0.759, 0.724], [0.241, 0.241, 0.276], [0.500, 0.500, 0.500]], "sg": "R-3m, No. 166", "ef_ev_per_atom": -0.17}


{"formula": "KYBe2", "functional": "PBE", "state": "optimized geometry", "lattice_angstrom": [[-0.364, 5.604, -5.686], [-6.989, 2.527, 2.937], [-2.094, 6.160, 0.589]], "species": ["Y", "Y", "Be", "Be", "Be", "Be", "K", "K"], "frac_coords": [[0.000, 0.000, 0.000], [0.750, 0.250, 0.500], [0.654, 0.125, 0.250], [0.096, 0.625, 0.250], [0.375, 0.346, 0.750], [0.875, 0.904, 0.750], [0.500, 0.500, 0.000], [0.250, 0.750, 0.500]], "sg": "I-42d, No. 122", "ef_ev_per_atom": 1.13, "polymorph_energy_mev_per_atom": 758.6}


{"formula": "ZnHOs3", "functional": "PBE", "state": "optimized geometry", "lattice_angstrom": [[3.920, 0.000, 0.000], [0.000, 3.920, 0.000], [0.000, 0.000, 3.920]], "species": ["H", "Zn", "Os", "Os", "Os"], "frac_coords": [[0.000, 0.000, 0.000], [0.500, 0.500, 0.500], [0.000, 0.500, 0.000], [0.000, 0.000, 0.500], [0.500, 0.000, 0.000]], "sg": "Pm-3m, No. 221", "polymorph_energy_mev_per_atom": 0.0}


We obtain DOS at the Fermi energy values of 3.89; 10.07; 3.42; 2.31; 5.36; 7.05 states/eV/cell for the records listed above, in that order.